(1)
The following is a DFT calculation (PBE-GGA) of crystalline Cs2HfGaS5 at its relaxed geometry.

Unit cell a=3.737 b=20.862 c=14.729 alpha=90.00 beta=90.00 gamma=90.00
Space group Cmc2_1 (No. 36)
One atom of each set of equivalent atoms:
Cs 0.000 0.130 0.000 x4
Cs 0.000 0.130 0.379 x4
Hf 0.000 0.208 0.709 x4
Ga 0.000 0.424 0.126 x4
S 0.000 0.073 0.720 x4
S 0.000 0.297 0.322 x4
S 0.000 0.314 0.086 x4
S 0.000 0.322 0.690 x4
S 0.000 0.486 0.003 x4

Values from the calculation:
Raw formation energy in eV per atom: -1.11
Total DFT energy (no corrections) in eV per atom: -5.03


(2)
The following is a DFT calculation (PBE-GGA) of crystalline Cs2HfGaSe5 at its relaxed geometry.

Unit cell a=3.856 b=21.680 c=15.455 alpha=90.00 beta=90.00 gamma=90.00
Space group Cmc2_1 (No. 36)
One atom of each set of equivalent atoms:
Cs 0.000 0.130 0.000 x4
Cs 0.000 0.136 0.377 x4
Hf 0.000 0.206 0.707 x4
Ga 0.000 0.423 0.115 x4
Se 0.000 0.071 0.714 x4
Se 0.000 0.301 0.322 x4
Se 0.000 0.311 0.080 x4
Se 0.000 0.322 0.687 x4
Se 0.000 0.486 0.989 x4

Values from the calculation:
Raw formation energy in eV per atom: -1.03
Total DFT energy (no corrections) in eV per atom: -4.60


(3)
The following is a DFT calculation (PBE-GGA) of crystalline Cs2HfGaSi at its relaxed geometry.

Unit cell a=7.219 b=7.219 c=5.075 alpha=90.00 beta=90.00 gamma=90.00
Space group P4/mmm (No. 123)
One atom of each set of equivalent atoms:
Cs 0.000 0.500 0.000 x2
Hf 0.000 0.000 0.500 x1
Ga 0.500 0.500 0.500 x1
Si 0.000 0.000 0.000 x1

Values from the calculation:
Raw formation energy in eV per atom: 0.85
Total DFT energy (no corrections) in eV per atom: -3.17


(4)
The following is a DFT calculation (PBE-GGA) of crystalline Cs2HfGaTe4 at its relaxed geometry.

Unit cell a=7.175 b=15.280 c=27.405 alpha=90.00 beta=90.00 gamma=90.00
Space group Fddd (No. 70, origin choice 2)
One atom of each set of equivalent atoms:
Cs 0.125 0.125 0.305 x16
Hf 0.125 0.125 0.125 x8
Ga 0.125 0.125 0.625 x8
Te 0.118 0.277 0.429 x32

Values from the calculation:
Raw formation energy in eV per atom: -0.78
Total DFT energy (no corrections) in eV per atom: -4.19


(5)
The following is a DFT calculation (PBE-GGA) of crystalline Cs2HfGaTe5 at its relaxed geometry.

Unit cell a=4.080 b=23.044 c=16.648 alpha=90.00 beta=90.00 gamma=90.00
Space group Cmc2_1 (No. 36)
One atom of each set of equivalent atoms:
Cs 0.000 0.127 0.000 x4
Cs 0.000 0.143 0.372 x4
Hf 0.000 0.201 0.703 x4
Ga 0.000 0.423 0.096 x4
Te 0.000 0.067 0.698 x4
Te 0.000 0.307 0.073 x4
Te 0.000 0.308 0.322 x4
Te 0.000 0.321 0.683 x4
Te 0.000 0.485 0.965 x4

Values from the calculation:
Raw formation energy in eV per atom: -0.74
Total DFT energy (no corrections) in eV per atom: -4.12


(6)
The following is a DFT calculation (PBE-GGA) of crystalline Cs3Ga2Hg13 at its relaxed geometry.

Unit cell a=7.1442 b=7.1442 c=13.3429 alpha=90.00 beta=90.00 gamma=120.00
Space group P6/mmm (No. 191)
One atom of each set of equivalent atoms:
Cs 0.0000 0.0000 0.0000 x1
Cs 0.0000 0.0000 0.3282 x2
Ga 0.3333 0.6667 0.0000 x2
Hg 0.0000 0.5000 0.1497 x6
Hg 0.0000 0.5000 0.5000 x3
Hg 0.3333 0.6667 0.3232 x4

Values from the calculation:
Formation energy from the elements in eV per atom: -0.1291
Total DFT energy (no corrections) in eV per atom: -0.83


(7)
The following is a DFT calculation (PBE-GGA) of crystalline CsGa2Hg7 at its relaxed geometry.

Unit cell a=8.280 b=16.837 c=5.394 alpha=90.00 beta=90.00 gamma=90.00
Space group Cmmm (No. 65)
One atom of each set of equivalent atoms:
Cs 0.000 0.000 0.000 x2
Ga 0.000 0.339 0.500 x4
Hg 0.000 0.332 0.000 x4
Hg 0.000 0.500 0.500 x2
Hg 0.172 0.163 0.500 x8

Values from the calculation:
Formation energy from the elements in eV per atom: -0.0095
Total DFT energy (no corrections) in eV per atom: -0.91


(8)
The following is a DFT calculation (PBE-GGA) of crystalline CsGa2Hg2 at its relaxed geometry.

Unit cell a=8.983 b=8.983 c=3.620 alpha=90.00 beta=90.00 gamma=90.00
Space group P4/mbm (No. 127)
One atom of each set of equivalent atoms:
Cs 0.000 0.000 0.000 x2
Ga 0.107 0.393 0.000 x4
Hg 0.182 0.682 0.500 x4

Values from the calculation:
Formation energy from the elements in eV per atom: 0.0283
Relative energy among the computed polymorphs in meV per atom: 106
Total DFT energy (no corrections) in eV per atom: -1.47


(9)
The following is a DFT calculation (PBE-GGA) of crystalline CsGaHg at its relaxed geometry.

Unit cell a=3.910 b=3.910 c=13.433 alpha=90.00 beta=90.00 gamma=90.00
Space group I4mm (No. 107)
One atom of each set of equivalent atoms:
Cs 0.000 0.000 0.000 x2
Ga 0.000 0.000 0.712 x2
Hg 0.000 0.000 0.286 x2

Values from the calculation:
Formation energy from the elements in eV per atom: -0.0241
Relative energy among the computed polymorphs in meV per atom: 90
Total DFT energy (no corrections) in eV per atom: -1.42


(10)
The following is a DFT calculation (PBE-GGA) of crystalline Cs5Ga3Hg12 at its relaxed geometry.

Unit cell a=19.712 b=19.712 c=19.712 alpha=90.00 beta=90.00 gamma=90.00
Space group Ia-3d (No. 230)
One atom of each set of equivalent atoms:
Cs 0.000 0.000 0.000 x16
Cs 0.000 0.250 0.375 x24
Ga 0.000 0.250 0.125 x24
Hg 0.006 0.110 0.648 x96

Values from the calculation:
Formation energy from the elements in eV per atom: -0.0144
Total DFT energy (no corrections) in eV per atom: -0.86


(11)
The following is a DFT calculation (PBE-GGA) of crystalline CsGa2Hg2 at its relaxed geometry.

Unit cell a=5.359 b=5.359 c=10.476 alpha=90.00 beta=90.00 gamma=90.00
Space group I4/mmm (No. 139)
One atom of each set of equivalent atoms:
Cs 0.000 0.000 0.000 x2
Ga 0.000 0.000 0.372 x4
Hg 0.000 0.500 0.250 x4

Values from the calculation:
Formation energy from the elements in eV per atom: -0.0777
Relative energy among the computed polymorphs in meV per atom: 0
Total DFT energy (no corrections) in eV per atom: -1.58


(12)
The following is a DFT calculation (PBE-GGA) of crystalline CsGa2Hg2 at its relaxed geometry.

Unit cell a=4.949 b=4.949 c=13.056 alpha=90.00 beta=90.00 gamma=90.00
Space group I4/mmm (No. 139)
One atom of each set of equivalent atoms:
Cs 0.000 0.000 0.000 x2
Ga 0.000 0.500 0.250 x4
Hg 0.000 0.000 0.356 x4

Values from the calculation:
Formation energy from the elements in eV per atom: -0.0740
Relative energy among the computed polymorphs in meV per atom: 4
Total DFT energy (no corrections) in eV per atom: -1.58


Q: What is the total DFT energy (no corrections) in the seventh record?
A: -0.91 eV per atom


Repeat the tenth record exactly.
The following is a DFT calculation (PBE-GGA) of crystalline Cs5Ga3Hg12 at its relaxed geometry.

Unit cell a=19.712 b=19.712 c=19.712 alpha=90.00 beta=90.00 gamma=90.00
Space group Ia-3d (No. 230)
One atom of each set of equivalent atoms:
Cs 0.000 0.000 0.000 x16
Cs 0.000 0.250 0.375 x24
Ga 0.000 0.250 0.125 x24
Hg 0.006 0.110 0.648 x96

Values from the calculation:
Formation energy from the elements in eV per atom: -0.0144
Total DFT energy (no corrections) in eV per atom: -0.86


Q: Which of these has the lowest total DFT energy (no corrections)?
A: Cs2HfGaS5


Q: Look up the total DFT energy (no corrections) of the twelfth one.
A: -1.58 eV per atom